Entry 1:
DFT (PBE) results for crystalline Ba3LaRu2O9 at its relaxed geometry.

Structure (POSCAR):
```
Ba3LaRu2O9
1.0
6.019 0.000 0.000
-3.009 5.212 0.000
0.000 0.000 15.094
Ba La Ru O
6 2 4 18
Direct
0.000 0.000 0.250
0.000 0.000 0.750
0.333 0.667 0.107
0.333 0.667 0.393
0.667 0.333 0.607
0.667 0.333 0.893
0.000 0.000 0.000
0.000 0.000 0.500
0.333 0.667 0.668
0.333 0.667 0.832
0.667 0.333 0.168
0.667 0.333 0.332
0.017 0.508 0.750
0.178 0.357 0.595
0.178 0.357 0.905
0.178 0.822 0.595
0.178 0.822 0.905
0.357 0.178 0.095
0.357 0.178 0.405
0.492 0.508 0.750
0.492 0.983 0.750
0.508 0.017 0.250
0.508 0.492 0.250
0.643 0.822 0.595
0.643 0.822 0.905
0.822 0.178 0.095
0.822 0.178 0.405
0.822 0.643 0.095
0.822 0.643 0.405
0.983 0.492 0.250
```

energy relative to the elements, uncorrected	-49.89	kcal/mol of atoms
crystal system	hexagonal
symmetry	No. 194

=====

Entry 2:
DFT (PBE) results for crystalline Ba2LaRu3O12 at its relaxed geometry.

Structure (POSCAR):
```
Ba2LaRu3O12
1.0
3.694 2.133 5.442
-3.694 2.133 5.442
0.000 -4.265 5.442
Ba La Ru O
2 1 3 12
Direct
0.110 0.110 0.110
0.890 0.890 0.890
0.500 0.500 0.500
0.000 0.500 0.500
0.500 0.000 0.500
0.500 0.500 0.000
0.071 0.635 0.635
0.223 0.223 0.613
0.223 0.613 0.223
0.365 0.365 0.929
0.365 0.929 0.365
0.387 0.777 0.777
0.613 0.223 0.223
0.635 0.071 0.635
0.635 0.635 0.071
0.777 0.387 0.777
0.777 0.777 0.387
0.929 0.365 0.365
```

energy relative to the elements, uncorrected	-38.09	kcal/mol of atoms
crystal system	trigonal
symmetry	No. 166

=====

Entry 3:
DFT (PBE) results for crystalline BaLa2RuO8 at its relaxed geometry.

Structure (POSCAR):
```
BaLa2RuO8
1.0
4.418 0.000 0.000
0.000 5.409 0.000
-2.159 0.000 6.976
Ba La Ru O
1 2 1 8
Direct
0.000 0.000 0.000
0.334 0.500 0.700
0.666 0.500 0.300
0.500 0.000 0.500
0.168 0.500 0.001
0.205 0.264 0.389
0.205 0.736 0.389
0.390 0.000 0.742
0.610 0.000 0.258
0.795 0.264 0.611
0.795 0.736 0.611
0.832 0.500 0.999
```

energy relative to the elements, uncorrected	-50.05	kcal/mol of atoms
crystal system	monoclinic
symmetry	No. 10

=====

Entry 4:
DFT (PBE) results for crystalline BaLaRu2O8 at its relaxed geometry.

Structure (POSCAR):
```
BaLaRu2O8
1.0
5.975 0.000 0.000
-2.988 5.175 0.000
0.000 0.000 7.865
Ba La Ru O
1 1 2 8
Direct
0.000 0.000 0.000
0.000 0.000 0.500
0.333 0.667 0.786
0.667 0.333 0.214
0.164 0.333 0.710
0.169 0.836 0.710
0.333 0.169 0.290
0.333 0.667 0.013
0.667 0.333 0.987
0.667 0.831 0.710
0.831 0.164 0.290
0.836 0.667 0.290
```

energy relative to the elements, uncorrected	-38.53	kcal/mol of atoms
crystal system	trigonal
symmetry	No. 147

=====

Entry 5:
DFT (PBE) results for crystalline Ba2LaRuO6 at its relaxed geometry.

Structure (POSCAR):
```
Ba2LaRuO6
1.0
3.070 1.772 4.940
-3.070 1.772 4.940
0.000 -3.544 4.940
Ba La Ru O
2 1 1 6
Direct
0.248 0.248 0.248
0.752 0.752 0.752
0.500 0.500 0.500
0.000 0.000 0.000
0.184 0.272 0.775
0.225 0.816 0.728
0.272 0.775 0.184
0.728 0.225 0.816
0.775 0.184 0.272
0.816 0.728 0.225
```

energy relative to the elements, uncorrected	-54.40	kcal/mol of atoms
crystal system	trigonal
symmetry	No. 148

=====

Entry 6:
DFT (PBE) results for crystalline BaLaRuO6 at its relaxed geometry.

Structure (POSCAR):
```
BaLaRuO6
1.0
5.795 0.000 0.000
-2.898 5.019 0.000
0.000 0.000 5.525
Ba La Ru O
1 1 1 6
Direct
0.000 0.000 0.000
0.333 0.667 0.500
0.667 0.333 0.500
0.399 0.057 0.698
0.399 0.342 0.302
0.658 0.057 0.302
0.658 0.601 0.698
0.943 0.342 0.698
0.943 0.601 0.302
```

energy relative to the elements, uncorrected	-44.27	kcal/mol of atoms
crystal system	trigonal
symmetry	No. 149